No. 1
The following is a PBE calculation of an optimized crystal structure of BeVAu3, from the Alexandria database. Values from VASP.

```
&SYSTEM
  ibrav = 0, nat = 5, ntyp = 3
/
ATOMIC_SPECIES
Be 9.01 Be.upf
V 50.94 V.upf
Au 196.97 Au.upf
ATOMIC_POSITIONS crystal
Be 0.0000 0.0000 0.0000
V 0.5000 0.5000 0.5000
Au 0.0000 0.0000 0.5000
Au 0.0000 0.5000 0.0000
Au 0.5000 0.0000 0.0000
CELL_PARAMETERS angstrom
4.4241 0.0000 0.0000
0.0000 4.4241 0.0000
0.0000 0.0000 4.4241
```

Computed properties:
crystal system	cubic
space-group type	Pm-3m (221)
magnetization	3.3	μB/f.u.
DFT total energy	-4.272	eV per atom

No. 2
The following is a PBE calculation of an optimized crystal structure of Ge2RhCl2, from the Alexandria database. Values from VASP.

```
&SYSTEM
  ibrav = 0, nat = 5, ntyp = 3
/
ATOMIC_SPECIES
Ge 72.64 Ge.upf
Rh 102.91 Rh.upf
Cl 35.45 Cl.upf
ATOMIC_POSITIONS crystal
Ge 0.1066 0.1066 0.0000
Ge 0.8934 0.8934 0.0000
Rh 0.5000 0.5000 0.0000
Cl 0.2500 0.7500 0.5000
Cl 0.7500 0.2500 0.5000
CELL_PARAMETERS angstrom
-2.0616 2.0616 6.2061
2.0616 -2.0616 6.2061
2.0616 2.0616 -6.2061
```

Computed properties:
crystal system	tetragonal
space-group type	I4/mmm (139)
magnetization	1.0	μB/f.u.
DFT total energy	-3.547	eV per atom

No. 3
The following is a PBE calculation of an optimized crystal structure of Te3PdC, from the Alexandria database. Values from VASP.

```
&SYSTEM
  ibrav = 0, nat = 5, ntyp = 3
/
ATOMIC_SPECIES
Te 127.60 Te.upf
Pd 106.42 Pd.upf
C 12.01 C.upf
ATOMIC_POSITIONS crystal
Te 0.0000 0.0000 0.5000
Te 0.0000 0.5000 0.0000
Te 0.5000 0.0000 0.0000
Pd 0.5000 0.5000 0.5000
C 0.0000 0.0000 0.0000
CELL_PARAMETERS angstrom
4.7414 0.0000 0.0000
0.0000 4.7414 0.0000
0.0000 0.0000 4.7414
```

Computed properties:
crystal system	cubic
space-group type	Pm-3m (221)
magnetization	0.0	μB/f.u.
DFT total energy	-3.722	eV per atom

No. 4
The following is a PBE calculation of an optimized crystal structure of Ca2PaGe3Ir4, from the Alexandria database. Values from VASP.

```
&SYSTEM
  ibrav = 0, nat = 10, ntyp = 4
/
ATOMIC_SPECIES
Ca 40.08 Ca.upf
Pa 231.04 Pa.upf
Ge 72.64 Ge.upf
Ir 192.22 Ir.upf
ATOMIC_POSITIONS crystal
Ca 0.0000 0.5000 0.2228
Ca 0.5000 0.0000 0.7772
Pa 0.0000 0.0000 0.5000
Ge 0.0000 0.5000 0.8781
Ge 0.5000 0.0000 0.1219
Ge 0.5000 0.5000 0.5000
Ir 0.0000 0.0000 0.0000
Ir 0.0000 0.5000 0.6494
Ir 0.5000 0.0000 0.3506
Ir 0.5000 0.5000 0.0000
CELL_PARAMETERS angstrom
4.2817 0.0000 0.0000
0.0000 4.2817 0.0000
0.0000 0.0000 10.9357
```

Computed properties:
crystal system	tetragonal
space-group type	P-4m2 (115)
magnetization	0.0	μB/f.u.
DFT total energy	-6.930	eV per atom

No. 5
The following is a PBE calculation of an optimized crystal structure of Ac3TlGe, from the Alexandria database. Values from VASP.

```
&SYSTEM
  ibrav = 0, nat = 5, ntyp = 3
/
ATOMIC_SPECIES
Ac 227.00 Ac.upf
Tl 204.38 Tl.upf
Ge 72.64 Ge.upf
ATOMIC_POSITIONS crystal
Ac 0.0000 0.0000 0.5000
Ac 0.0000 0.5000 0.0000
Ac 0.5000 0.0000 0.0000
Tl 0.5000 0.5000 0.5000
Ge 0.0000 0.0000 0.0000
CELL_PARAMETERS angstrom
6.0050 0.0000 0.0000
0.0000 6.0050 0.0000
0.0000 0.0000 6.0050
```

Computed properties:
crystal system	cubic
space-group type	Pm-3m (221)
magnetization	0.0	μB/f.u.
DFT total energy	-4.032	eV per atom

No. 6
The following is a PBE calculation of an optimized crystal structure of NaMg2Sn3Se6, from the Alexandria database. Values from VASP.

```
&SYSTEM
  ibrav = 0, nat = 12, ntyp = 4
/
ATOMIC_SPECIES
Na 22.99 Na.upf
Mg 24.30 Mg.upf
Sn 118.71 Sn.upf
Se 78.96 Se.upf
ATOMIC_POSITIONS crystal
Na 0.0000 0.0000 0.0000
Mg 0.3313 0.3313 0.6627
Mg 0.6687 0.6687 0.3373
Sn 0.0000 0.0000 0.5000
Sn 0.3320 0.3320 0.1651
Sn 0.6680 0.6680 0.8349
Se 0.1710 0.1710 0.5725
Se 0.1724 0.1724 0.1127
Se 0.4850 0.4850 0.7339
Se 0.5150 0.5150 0.2661
Se 0.8276 0.8276 0.8873
Se 0.8290 0.8290 0.4275
CELL_PARAMETERS angstrom
8.9973 -2.0322 0.0000
8.9973 2.0322 0.0000
-1.6963 0.0000 8.2076
```

Computed properties:
crystal system	monoclinic
space-group type	C2/m (12)
magnetization	0.0	μB/f.u.
DFT total energy	-3.873	eV per atom

No. 7
The following is a PBE calculation of an optimized crystal structure of TbEr2Co, from the Alexandria database. Values from VASP.

```
&SYSTEM
  ibrav = 0, nat = 4, ntyp = 3
/
ATOMIC_SPECIES
Tb 158.93 Tb.upf
Er 167.26 Er.upf
Co 58.93 Co.upf
ATOMIC_POSITIONS crystal
Tb 0.0000 0.0000 0.0000
Er 0.2253 0.2253 0.2253
Er 0.4452 0.4452 0.4452
Co 0.8353 0.8353 0.8353
CELL_PARAMETERS angstrom
1.8674 1.0782 8.8752
-1.8674 1.0782 8.8752
0.0000 -2.1563 8.8752
```

Computed properties:
crystal system	trigonal
space-group type	R3m (160)
magnetization	0.0	μB/f.u.
DFT total energy	-5.232	eV per atom

No. 8
The following is a PBE calculation of an optimized crystal structure of RbSb4Te6, from the Alexandria database. Values from VASP.

```
&SYSTEM
  ibrav = 0, nat = 11, ntyp = 3
/
ATOMIC_SPECIES
Rb 85.47 Rb.upf
Sb 121.76 Sb.upf
Te 127.60 Te.upf
ATOMIC_POSITIONS crystal
Rb 0.0000 0.0000 0.0000
Sb 0.2187 0.5555 0.0000
Sb 0.4445 0.4445 0.6632
Sb 0.5555 0.2187 0.0000
Sb 0.7813 0.7813 0.3368
Te 0.0000 0.5000 0.5000
Te 0.1136 0.1136 0.6125
Te 0.4989 0.8864 0.0000
Te 0.5000 0.0000 0.5000
Te 0.5011 0.5011 0.3875
Te 0.8864 0.4989 0.0000
CELL_PARAMETERS angstrom
-3.9116 3.9116 6.4870
3.9116 -3.9116 6.4870
3.9116 3.9116 -6.4870
```

Computed properties:
crystal system	tetragonal
space-group type	I-42m (121)
magnetization	0.0	μB/f.u.
DFT total energy	-3.385	eV per atom

No. 9
The following is a PBE calculation of an optimized crystal structure of Tb3PmCo, from the Alexandria database. Values from VASP.

```
&SYSTEM
  ibrav = 0, nat = 5, ntyp = 3
/
ATOMIC_SPECIES
Tb 158.93 Tb.upf
Pm 145.00 Pm.upf
Co 58.93 Co.upf
ATOMIC_POSITIONS crystal
Tb 0.0000 0.0000 0.5000
Tb 0.0000 0.5000 0.0000
Tb 0.5000 0.0000 0.0000
Pm 0.5000 0.5000 0.5000
Co 0.0000 0.0000 0.0000
CELL_PARAMETERS angstrom
5.3176 0.0000 0.0000
0.0000 5.3176 0.0000
0.0000 0.0000 5.3176
```

Computed properties:
crystal system	cubic
space-group type	Pm-3m (221)
magnetization	0.9	μB/f.u.
DFT total energy	-5.150	eV per atom

No. 10
The following is a PBE calculation of an optimized crystal structure of RbBaMn3, from the Alexandria database. Values from VASP.

```
&SYSTEM
  ibrav = 0, nat = 5, ntyp = 3
/
ATOMIC_SPECIES
Rb 85.47 Rb.upf
Ba 137.33 Ba.upf
Mn 54.94 Mn.upf
ATOMIC_POSITIONS crystal
Rb 0.0000 0.0000 0.0000
Ba 0.5000 0.5000 0.5000
Mn 0.0000 0.0000 0.5000
Mn 0.0000 0.5000 0.0000
Mn 0.5000 0.0000 0.0000
CELL_PARAMETERS angstrom
5.7307 0.0000 0.0000
0.0000 5.7307 0.0000
0.0000 0.0000 5.7307
```

Computed properties:
crystal system	cubic
space-group type	Pm-3m (221)
magnetization	12.3	μB/f.u.
DFT total energy	-4.414	eV per atom

No. 11
The following is a PBE calculation of an optimized crystal structure of ErThSe3, from the Alexandria database. Values from VASP.

```
&SYSTEM
  ibrav = 0, nat = 20, ntyp = 3
/
ATOMIC_SPECIES
Er 167.26 Er.upf
Th 232.04 Th.upf
Se 78.96 Se.upf
ATOMIC_POSITIONS crystal
Er 0.2354 0.2500 0.0435
Er 0.2646 0.7500 0.5435
Er 0.7354 0.2500 0.4565
Er 0.7646 0.7500 0.9565
Th 0.1235 0.7500 0.2953
Th 0.3765 0.2500 0.7953
Th 0.6235 0.7500 0.2047
Th 0.8765 0.2500 0.7047
Se 0.0092 0.7500 0.1057
Se 0.1233 0.2500 0.4360
Se 0.1566 0.7500 0.7201
Se 0.3434 0.2500 0.2201
Se 0.3767 0.7500 0.9360
Se 0.4908 0.2500 0.6057
Se 0.5092 0.7500 0.3943
Se 0.6233 0.2500 0.0640
Se 0.6566 0.7500 0.7799
Se 0.8434 0.2500 0.2799
Se 0.8767 0.7500 0.5640
Se 0.9908 0.2500 0.8943
CELL_PARAMETERS angstrom
7.7616 0.0000 0.0000
0.0000 4.1328 0.0000
0.0000 0.0000 15.7587
```

Computed properties:
crystal system	orthorhombic
space-group type	Pnma (62)
magnetization	0.0	μB/f.u.
DFT total energy	-6.244	eV per atom

No. 12
The following is a PBE calculation of an optimized crystal structure of BaCo2Si, from the Alexandria database. Values from VASP.

```
&SYSTEM
  ibrav = 0, nat = 4, ntyp = 3
/
ATOMIC_SPECIES
Ba 137.33 Ba.upf
Co 58.93 Co.upf
Si 28.09 Si.upf
ATOMIC_POSITIONS crystal
Ba 0.0000 0.0000 0.0000
Co 0.0000 0.0000 0.4904
Co 0.5000 0.5000 0.3436
Si 0.5000 0.5000 0.6534
CELL_PARAMETERS angstrom
3.1056 0.0000 0.0000
0.0000 3.2706 0.0000
0.0000 0.0000 7.2597
```

Computed properties:
crystal system	orthorhombic
space-group type	Pmm2 (25)
magnetization	2.6	μB/f.u.
DFT total energy	-5.109	eV per atom

No. 13
The following is a PBE calculation of an optimized crystal structure of Sm6Te3CSe2, from the Alexandria database. Values from VASP.

```
&SYSTEM
  ibrav = 0, nat = 12, ntyp = 4
/
ATOMIC_SPECIES
Sm 150.36 Sm.upf
Te 127.60 Te.upf
C 12.01 C.upf
Se 78.96 Se.upf
ATOMIC_POSITIONS crystal
Sm 0.0675 0.3667 0.2041
Sm 0.2270 0.2270 0.7878
Sm 0.3667 0.0675 0.2041
Sm 0.6333 0.9325 0.7959
Sm 0.7730 0.7730 0.2122
Sm 0.9325 0.6333 0.7959
Te 0.1761 0.8239 0.5000
Te 0.5000 0.5000 0.5000
Te 0.8239 0.1761 0.5000
C 0.0000 0.0000 0.0000
Se 0.3350 0.6650 0.0000
Se 0.6650 0.3350 0.0000
CELL_PARAMETERS angstrom
3.6400 -6.2821 0.0000
3.6400 6.2821 0.0000
-2.4047 0.0000 7.1047
```

Computed properties:
crystal system	monoclinic
space-group type	C2/m (12)
magnetization	0.0	μB/f.u.
DFT total energy	-5.885	eV per atom

No. 14
The following is a PBE calculation of an optimized crystal structure of ZnNiPt, from the Alexandria database. Values from VASP.

```
&SYSTEM
  ibrav = 0, nat = 18, ntyp = 3
/
ATOMIC_SPECIES
Zn 65.41 Zn.upf
Ni 58.69 Ni.upf
Pt 195.08 Pt.upf
ATOMIC_POSITIONS crystal
Zn 0.0633 0.9367 0.5000
Zn 0.0892 0.4856 0.5632
Zn 0.3071 0.7694 0.8106
Zn 0.4856 0.0892 0.0632
Zn 0.7694 0.3071 0.3106
Zn 0.9367 0.0633 0.0000
Ni 0.1705 0.2032 0.2381
Ni 0.2032 0.1705 0.7381
Ni 0.3732 0.4120 0.8893
Ni 0.4120 0.3732 0.3893
Ni 0.5162 0.6444 0.1242
Ni 0.6444 0.5162 0.6242
Pt 0.1255 0.7025 0.1636
Pt 0.4510 0.8817 0.4636
Pt 0.7025 0.1255 0.6636
Pt 0.7873 0.7900 0.8136
Pt 0.7900 0.7873 0.3136
Pt 0.8817 0.4510 0.9636
CELL_PARAMETERS angstrom
6.9674 -2.2816 0.0000
6.9674 2.2816 0.0000
-4.5201 0.0000 7.7769
```

Computed properties:
crystal system	monoclinic
space-group type	Cc (9)
magnetization	0.0	μB/f.u.
DFT total energy	-4.581	eV per atom

No. 15
The following is a PBE calculation of an optimized crystal structure of KNiOs, from the Alexandria database. Values from VASP.

```
&SYSTEM
  ibrav = 0, nat = 3, ntyp = 3
/
ATOMIC_SPECIES
K 39.10 K.upf
Ni 58.69 Ni.upf
Os 190.23 Os.upf
ATOMIC_POSITIONS crystal
K 0.0000 0.0000 0.0000
Ni 0.6977 0.6977 0.0000
Os 0.3020 0.3020 0.0000
CELL_PARAMETERS angstrom
-1.3992 1.3992 7.0710
1.3992 -1.3992 7.0710
1.3992 1.3992 -7.0710
```

Computed properties:
crystal system	tetragonal
space-group type	I4mm (107)
magnetization	0.0	μB/f.u.
DFT total energy	-5.177	eV per atom

No. 16
The following is a PBE calculation of an optimized crystal structure of NaLa2Tl4, from the Alexandria database. Values from VASP.

```
&SYSTEM
  ibrav = 0, nat = 7, ntyp = 3
/
ATOMIC_SPECIES
Na 22.99 Na.upf
La 138.91 La.upf
Tl 204.38 Tl.upf
ATOMIC_POSITIONS crystal
Na 0.0000 0.0000 0.0000
La 0.3665 0.3665 0.0000
La 0.6335 0.6335 0.0000
Tl 0.0000 0.5000 0.5000
Tl 0.1737 0.1737 0.0000
Tl 0.5000 0.0000 0.5000
Tl 0.8263 0.8263 0.0000
CELL_PARAMETERS angstrom
-2.6266 2.6266 8.3716
2.6266 -2.6266 8.3716
2.6266 2.6266 -8.3716
```

Computed properties:
crystal system	tetragonal
space-group type	I4/mmm (139)
magnetization	0.0	μB/f.u.
DFT total energy	-2.922	eV per atom